Below is an optimized crystal structure of CoCu2Ag, with properties calculated at the PBE level.

The calculation puts the formation energy at 350.6 meV/atom. Its energy above the most stable polymorph in this dataset is 0.158 eV per atom.

Lattice parameters (Å, degrees): 4.230 4.230 4.230 60.00 60.00 60.00
Sites, in units of the cell vectors:
Cu  0.000  0.000  0.000
Cu  0.750  0.750  0.750
Co  0.250  0.250  0.250
Ag  0.500  0.500  0.500